# 1
Below is a relaxed structure of RbBaCa, with properties calculated at the PBE-GGA level.

Computed properties:
Polymorph energy (0 for the lowest one) ... 2 kJ/mol of formula units
Magnetic moment ... 0.00 μB per cell
V ... 62.133 A^3/atom
Formation energy from the elements ... 13.5 kJ/mol of atoms
ρ ... 2.3 Mg/m³

```
data_RbBaCa
_symmetry_space_group_name_H-M 'I 4 m m'
_symmetry_Int_Tables_number 107
_symmetry_space_group_name_Hall 'I 4 -2'
_cell_length_a 4.271
_cell_length_b 4.271
_cell_length_c 20.440
_cell_angle_alpha 90.00
_cell_angle_beta 90.00
_cell_angle_gamma 90.00
loop_
_atom_site_label
_atom_site_fract_x
_atom_site_fract_y
_atom_site_fract_z
_atom_site_occupancy
Rb1 0.000 0.000 0.000 1
Ba1 0.000 0.000 0.689 1
Ca1 0.000 0.000 0.333 1
```



# 2
Below is a relaxed structure of La12Tb5Sc2, with properties calculated at the PBE-GGA level.

Computed properties:
Magnetic moment ... 0.00 μB per cell
V ... 34.387 A^3/atom
Formation energy from the elements ... 14.1 kJ/mol of atoms
ρ ... 6.5 Mg/m³

```
data_La12Tb5Sc2
_symmetry_space_group_name_H-M 'C 1 2/m 1'
_symmetry_Int_Tables_number 12
_symmetry_space_group_name_Hall '-C 2y'
_cell_length_a 19.460
_cell_length_b 7.518
_cell_length_c 10.022
_cell_angle_alpha 90.00
_cell_angle_beta 116.98
_cell_angle_gamma 90.00
loop_
_atom_site_label
_atom_site_fract_x
_atom_site_fract_y
_atom_site_fract_z
_atom_site_occupancy
La1 0.001 0.000 0.300 1
La2 0.012 0.500 0.833 1
La3 0.161 0.248 0.345 1
La4 0.166 0.232 0.998 1
Tb1 0.000 0.000 0.000 1
Tb2 0.171 0.000 0.664 1
Tb3 0.172 0.500 0.687 1
Sc1 0.000 0.307 0.500 1
```



# 3
Below is a relaxed structure of Cd2NiW2, with properties calculated at the PBE-GGA level.

Computed properties:
Polymorph energy (0 for the lowest one) ... 100 kJ/mol of formula units
Magnetic moment ... 0.96 μB per cell
V ... 19.135 A^3/atom
Formation energy from the elements ... 105.4 kJ/mol of atoms
ρ ... 11.3 Mg/m³

```
data_Cd2NiW2
_symmetry_space_group_name_H-M 'P 4/m b m'
_symmetry_Int_Tables_number 127
_symmetry_space_group_name_Hall '-P 4 2ab'
_cell_length_a 8.205
_cell_length_b 8.205
_cell_length_c 2.842
_cell_angle_alpha 90.00
_cell_angle_beta 90.00
_cell_angle_gamma 90.00
loop_
_atom_site_label
_atom_site_fract_x
_atom_site_fract_y
_atom_site_fract_z
_atom_site_occupancy
Cd1 0.189 0.311 0.000 1
Ni1 0.000 0.000 0.000 1
W1 0.105 0.605 0.500 1
```



# 4
Below is a relaxed structure of TbGdDyTl, with properties calculated at the PBE-GGA level.

Computed properties:
Magnetic moment ... 34.59 μB per cell
V ... 29.172 A^3/atom
Formation energy from the elements ... -4.8 kJ/mol of atoms
ρ ... 9.7 Mg/m³

```
data_TbGdDyTl
_symmetry_space_group_name_H-M 'F -4 3 m'
_symmetry_Int_Tables_number 216
_symmetry_space_group_name_Hall 'F -4 2 3'
_cell_length_a 7.757
_cell_length_b 7.757
_cell_length_c 7.757
_cell_angle_alpha 90.00
_cell_angle_beta 90.00
_cell_angle_gamma 90.00
loop_
_atom_site_label
_atom_site_fract_x
_atom_site_fract_y
_atom_site_fract_z
_atom_site_occupancy
Tb1 0.000 0.000 0.000 1
Gd1 0.250 0.250 0.250 1
Dy1 0.250 0.250 0.750 1
Tl1 0.000 0.000 0.500 1
```



# 5
Below is a relaxed structure of Ta3RuPt, with properties calculated at the PBE-GGA level.

Computed properties:
Polymorph energy (0 for the lowest one) ... 0 kJ/mol of formula units
Magnetic moment ... 0.00 μB per cell
V ... 21.050 A^3/atom
Formation energy from the elements ... 98.7 kJ/mol of atoms
ρ ... 13.2 Mg/m³

```
data_Ta3RuPt
_symmetry_space_group_name_H-M 'P m -3 m'
_symmetry_Int_Tables_number 221
_symmetry_space_group_name_Hall '-P 4 2 3'
_cell_length_a 4.721
_cell_length_b 4.721
_cell_length_c 4.721
_cell_angle_alpha 90.00
_cell_angle_beta 90.00
_cell_angle_gamma 90.00
loop_
_atom_site_label
_atom_site_fract_x
_atom_site_fract_y
_atom_site_fract_z
_atom_site_occupancy
Ta1 0.000 0.000 0.500 1
Ru1 0.000 0.000 0.000 1
Pt1 0.500 0.500 0.500 1
```



# 6
Below is a relaxed structure of Tb2NdRu, with properties calculated at the PBE-GGA level.

Computed properties:
Polymorph energy (0 for the lowest one) ... 6 kJ/mol of formula units
Magnetic moment ... 0.00 μB per cell
V ... 27.795 A^3/atom
Formation energy from the elements ... -24.1 kJ/mol of atoms
ρ ... 8.4 Mg/m³

```
data_Tb2NdRu
_symmetry_space_group_name_H-M 'C m c m'
_symmetry_Int_Tables_number 63
_symmetry_space_group_name_Hall '-C 2c 2'
_cell_length_a 3.931
_cell_length_b 12.214
_cell_length_c 9.264
_cell_angle_alpha 90.00
_cell_angle_beta 90.00
_cell_angle_gamma 90.00
loop_
_atom_site_label
_atom_site_fract_x
_atom_site_fract_y
_atom_site_fract_z
_atom_site_occupancy
Tb1 0.000 0.145 0.070 1
Nd1 0.000 0.424 0.250 1
Ru1 0.000 0.246 0.750 1
```



# 7
Below is a relaxed structure of Pr8Os3PtBr4, with properties calculated at the PBE-GGA level.

Computed properties:
Formation energy (no corrections) ... -0.812 eV/atom
Magnetic moment ... 0.00 μB per cell
V ... 29.782 A^3/atom
ρ ... 7.7 Mg/m³

```
data_Pr8Os3PtBr4
_symmetry_space_group_name_H-M 'R -3 m'
_symmetry_Int_Tables_number 166
_symmetry_space_group_name_Hall '-R 3 2"'
_cell_length_a 8.3601
_cell_length_b 8.3601
_cell_length_c 23.6189
_cell_angle_alpha 90.00
_cell_angle_beta 90.00
_cell_angle_gamma 120.00
loop_
_atom_site_label
_atom_site_fract_x
_atom_site_fract_y
_atom_site_fract_z
_atom_site_occupancy
Pr1 0.0000 0.0000 0.2331 1
Pr2 0.0111 0.5055 0.7677 1
Os1 0.0000 0.5000 0.5000 1
Pt1 0.0000 0.0000 0.5000 1
Br1 0.0000 0.0000 0.0000 1
Br2 0.0000 0.5000 0.0000 1
```



# 8
Below is a relaxed structure of CuMo2Rh, with properties calculated at the PBE-GGA level.

Computed properties:
Magnetic moment ... 0.00 μB per cell
V ... 14.460 A^3/atom
Formation energy from the elements ... 7.1 kJ/mol of atoms
ρ ... 10.3 Mg/m³

```
data_CuMo2Rh
_symmetry_space_group_name_H-M 'P 4/m m m'
_symmetry_Int_Tables_number 123
_symmetry_space_group_name_Hall '-P 4 2'
_cell_length_a 2.729
_cell_length_b 2.729
_cell_length_c 7.769
_cell_angle_alpha 90.00
_cell_angle_beta 90.00
_cell_angle_gamma 90.00
loop_
_atom_site_label
_atom_site_fract_x
_atom_site_fract_y
_atom_site_fract_z
_atom_site_occupancy
Cu1 0.000 0.000 0.000 1
Mo1 0.500 0.500 0.246 1
Rh1 0.000 0.000 0.500 1
```



# 9
Below is a relaxed structure of Pu2TlGaO8, with properties calculated at the PBE-GGA level.

Computed properties:
Formation energy (no corrections) ... -1.883 eV/atom
Magnetic moment ... 12.00 μB per cell
V ... 15.892 A^3/atom
ρ ... 7.8 Mg/m³

```
data_Pu2TlGaO8
_symmetry_space_group_name_H-M 'R -3'
_symmetry_Int_Tables_number 148
_symmetry_space_group_name_Hall '-R 3'
_cell_length_a 5.7002
_cell_length_b 5.7002
_cell_length_c 20.3317
_cell_angle_alpha 90.00
_cell_angle_beta 90.00
_cell_angle_gamma 120.00
loop_
_atom_site_label
_atom_site_fract_x
_atom_site_fract_y
_atom_site_fract_z
_atom_site_occupancy
Pu1 0.0000 0.0000 0.1969 1
Tl1 0.0000 0.0000 0.0000 1
Ga1 0.0000 0.0000 0.5000 1
O1 0.0000 0.0000 0.2885 1
O2 0.0179 0.6208 0.7899 1
```



# 10
Below is a relaxed structure of Y5Cd4Ga, with properties calculated at the PBE-GGA level.

Computed properties:
Magnetic moment ... 0.00 μB per cell
V ... 25.659 A^3/atom
Formation energy from the elements ... -38.9 kJ/mol of atoms
ρ ... 6.2 Mg/m³

```
data_Y5Cd4Ga
_symmetry_space_group_name_H-M 'P 4/m m m'
_symmetry_Int_Tables_number 123
_symmetry_space_group_name_Hall '-P 4 2'
_cell_length_a 3.709
_cell_length_b 3.709
_cell_length_c 18.656
_cell_angle_alpha 90.00
_cell_angle_beta 90.00
_cell_angle_gamma 90.00
loop_
_atom_site_label
_atom_site_fract_x
_atom_site_fract_y
_atom_site_fract_z
_atom_site_occupancy
Y1 0.000 0.000 0.000 1
Y2 0.000 0.000 0.204 1
Y3 0.000 0.000 0.408 1
Cd1 0.500 0.500 0.102 1
Cd2 0.500 0.500 0.305 1
Ga1 0.500 0.500 0.500 1
```



# 11
Below is a relaxed structure of PmSm2TlHg4, with properties calculated at the PBE-GGA level.

Computed properties:
Magnetic moment ... 0.00 μB per cell
V ... 26.950 A^3/atom
Formation energy from the elements ... -39.0 kJ/mol of atoms
ρ ... 11.2 Mg/m³

```
data_PmSm2TlHg4
_symmetry_space_group_name_H-M 'R -3 m'
_symmetry_Int_Tables_number 166
_symmetry_space_group_name_Hall '-R 3 2"'
_cell_length_a 5.2687
_cell_length_b 5.2687
_cell_length_c 26.9056
_cell_angle_alpha 90.00
_cell_angle_beta 90.00
_cell_angle_gamma 120.00
loop_
_atom_site_label
_atom_site_fract_x
_atom_site_fract_y
_atom_site_fract_z
_atom_site_occupancy
Pm1 0.0000 0.0000 0.0000 1
Sm1 0.0000 0.0000 0.2412 1
Tl1 0.0000 0.0000 0.5000 1
Hg1 0.0000 0.0000 0.1196 1
Hg2 0.0000 0.0000 0.3685 1
```



# 12
Below is a relaxed structure of AgN, with properties calculated at the PBE-GGA level.

Computed properties:
Polymorph energy (0 for the lowest one) ... 279 kJ/mol of formula units
Formation energy (no corrections) ... 1.704 eV/atom
Magnetic moment ... 0.00 μB per cell
V ... 15.239 A^3/atom
ρ ... 6.6 Mg/m³

```
data_AgN
_symmetry_space_group_name_H-M 'C m c e'
_symmetry_Int_Tables_number 64
_symmetry_space_group_name_Hall '-C 2ac 2'
_cell_length_a 5.682
_cell_length_b 5.895
_cell_length_c 7.279
_cell_angle_alpha 90.00
_cell_angle_beta 90.00
_cell_angle_gamma 90.00
loop_
_atom_site_label
_atom_site_fract_x
_atom_site_fract_y
_atom_site_fract_z
_atom_site_occupancy
Ag1 0.000 0.156 0.159 1
N1 0.250 0.096 0.750 1
```